(1)
AgPt3 GGA-PBEsol relaxed; E_form = 44 meV per atom; calculated density = 18.85 g/cm3; magnetic moment = 0.00 μB per cell
1.0
2.760 0.000 0.000
0.000 4.003 0.000
0.000 0.000 5.529
Ag Pt
1 3
direct
0.000 0.000 0.000 Ag
0.000 0.000 0.500 Pt
0.500 0.500 0.256 Pt
0.500 0.500 0.744 Pt

***

(2)
AgPtNCl2 GGA-PBEsol relaxed; calculated density = 5.54 g/cm3; magnetic moment = 2.39 μB per cell; formation energy from raw total energies = 1.70 eV per atom
1.0
4.740 0.000 0.000
0.000 4.740 0.000
0.000 0.000 5.176
Ag Pt N Cl
1 1 1 2
direct
0.000 0.000 0.000 Ag
0.000 0.000 0.500 Pt
0.500 0.500 0.500 N
0.000 0.500 0.000 Cl
0.500 0.000 0.000 Cl

***

(3)
BaTeN2O GGA-PBEsol relaxed; calculated density = 5.83 g/cm3; magnetic moment = 2.38 μB per cell; formation energy from raw total energies = 1.07 eV per atom
1.0
4.641 0.000 0.000
0.000 4.641 0.000
0.000 0.000 4.088
Ba Te N O
1 1 2 1
direct
0.000 0.000 0.000 Ba
0.500 0.500 0.000 Te
0.000 0.500 0.500 N
0.500 0.000 0.500 N
0.500 0.500 0.500 O

***

(4)
Ti2BiRhCl GGA-PBEsol relaxed; calculated density = 5.22 g/cm3; magnetic moment = 2.52 μB per cell; formation energy from raw total energies = 1.53 eV per atom
1.0
5.257 0.000 0.000
0.000 5.257 0.000
0.000 0.000 5.104
Ti Bi Rh Cl
2 1 1 1
direct
0.000 0.500 0.000 Ti
0.500 0.000 0.000 Ti
0.000 0.000 0.000 Bi
0.500 0.500 0.500 Rh
0.000 0.000 0.500 Cl